! MgPt7, relaxed, DFT GGA-PBE; values from VASP
! Crystal system: cubic
! Magnetic moment, Bohr magnetons per cell: 0.02
! SG: Fm-3m (225)
! E_tot, eV per atom: -5.821
&SYSTEM
  ibrav = 0, nat = 8, ntyp = 2
/
ATOMIC_SPECIES
Mg 24.30 Mg.upf
Pt 195.08 Pt.upf
CELL_PARAMETERS angstrom
0.000 3.951 3.951
3.951 0.000 3.951
3.951 3.951 0.000
ATOMIC_POSITIONS crystal
Mg 0.000 0.000 0.000
Pt 0.500 0.500 0.500
Pt 0.000 0.500 0.000
Pt 0.000 0.500 0.500
Pt 0.500 0.500 0.000
Pt 0.500 0.000 0.000
Pt 0.500 0.000 0.500
Pt 0.000 0.000 0.500

=====

! MgPt, relaxed, DFT GGA-PBE; values from VASP
! Crystal system: monoclinic
! Magnetic moment, Bohr magnetons per cell: 0.00
! SG: P2_1/m (11)
! E_tot, eV per atom: -4.320
&SYSTEM
  ibrav = 0, nat = 12, ntyp = 2
/
ATOMIC_SPECIES
Pt 195.08 Pt.upf
Mg 24.30 Mg.upf
CELL_PARAMETERS angstrom
-6.186 -3.148 -2.519
3.517 -4.610 0.538
-1.486 -0.617 4.421
ATOMIC_POSITIONS crystal
Pt 0.684 0.178 0.000
Pt 0.322 0.328 0.000
Pt 0.315 0.831 0.000
Pt 0.567 0.395 0.500
Pt 0.573 0.892 0.500
Pt 0.205 0.544 0.500
Mg 0.880 0.711 0.500
Mg 0.009 0.011 0.000
Mg 0.873 0.226 0.500
Mg 0.266 0.061 0.500
Mg 0.016 0.497 0.000
Mg 0.623 0.661 0.000